Model 1:
Entry from the Alexandria database: a relaxed structure of CsBe2H6 (PBE-GGA).

Cell and atoms, written as CIF:
```
data_CsBe2H6
_cell_length_a 3.2110
_cell_length_b 5.4878
_cell_length_c 6.2347
_cell_angle_alpha 103.15
_cell_angle_beta 90.27
_cell_angle_gamma 90.34
_symmetry_space_group_name_H-M 'P -1'
_symmetry_Int_Tables_number 2
_symmetry_space_group_name_Hall '-P 1'
loop_
_atom_site_label
_atom_site_type_symbol
_atom_site_fract_x
_atom_site_fract_y
_atom_site_fract_z
Cs1 Cs 0.0000 0.0000 0.0000
Be1 Be 0.4964 0.2200 0.5696
H1 H 0.0031 0.8046 0.5129
H2 H 0.4930 0.4677 0.4333
H3 H 0.4993 0.6583 0.2075
```

Computed properties:
The calculation puts the density of states at the Fermi level at 0.93 states/eV per cell.


Model 2:
Entry from the Alexandria database: a relaxed structure of CsBe2H6 (PBE-GGA).

Cell and atoms, written as CIF:
```
data_CsBe2H6
_cell_length_a 3.8227
_cell_length_b 4.4495
_cell_length_c 6.5902
_cell_angle_alpha 86.33
_cell_angle_beta 73.63
_cell_angle_gamma 89.01
_symmetry_space_group_name_H-M 'P -1'
_symmetry_Int_Tables_number 2
_symmetry_space_group_name_Hall '-P 1'
loop_
_atom_site_label
_atom_site_type_symbol
_atom_site_fract_x
_atom_site_fract_y
_atom_site_fract_z
Cs1 Cs 0.0000 0.0000 0.0000
Be1 Be 0.2920 0.4880 0.4143
H1 H 0.0088 0.7283 0.4766
H2 H 0.3991 0.4635 0.1949
H3 H 0.4946 0.2717 0.5241
```

Computed properties:
The calculation puts the density of states at the Fermi level at 0.29 states/eV per cell.


What are the relative energies? In meV per atom: model 1 268; model 2 0.


Model 1:
Entry from the Alexandria database: a relaxed structure of CsBeH3 (PBE-GGA).

Cell and atoms, written as CIF:
```
data_CsBeH3
_cell_length_a 5.0843
_cell_length_b 5.8532
_cell_length_c 7.7718
_cell_angle_alpha 90.00
_cell_angle_beta 108.43
_cell_angle_gamma 90.00
_symmetry_space_group_name_H-M 'P 1 21/m 1'
_symmetry_Int_Tables_number 11
_symmetry_space_group_name_Hall '-P 2yb'
loop_
_atom_site_label
_atom_site_type_symbol
_atom_site_fract_x
_atom_site_fract_y
_atom_site_fract_z
Cs1 Cs 0.1879 0.2500 0.2658
Be1 Be 0.2293 0.2500 0.7362
H1 H 0.0779 0.2500 0.8587
H2 H 0.2978 0.0438 0.6686
```

Computed properties:
The calculation puts the density of states at the Fermi level at 0.00 states/eV per cell.


Model 2:
Entry from the Alexandria database: a relaxed structure of CsBeH3 (PBE-GGA).

Cell and atoms, written as CIF:
```
data_CsBeH3
_cell_length_a 6.0290
_cell_length_b 10.4537
_cell_length_c 4.1873
_cell_angle_alpha 90.00
_cell_angle_beta 90.10
_cell_angle_gamma 90.00
_symmetry_space_group_name_H-M 'C 1 2/c 1'
_symmetry_Int_Tables_number 15
_symmetry_space_group_name_Hall '-C 2yc'
loop_
_atom_site_label
_atom_site_type_symbol
_atom_site_fract_x
_atom_site_fract_y
_atom_site_fract_z
Cs1 Cs 0.0000 0.1667 0.2500
Be1 Be 0.0000 0.5000 0.0000
H1 H 0.0000 0.3796 0.7500
H2 H 0.1808 0.4398 0.2505
```

Computed properties:
The calculation puts the density of states at the Fermi level at 0.00 states/eV per cell.


What are the relative energies? In meV per atom: model 1 36; model 2 0.